(1)
First-principles (PBE-GGA) data for a geometry-optimized Th6InRu2Se3 structure, as listed in Alexandria via LeMat-Bulk.

Output
Mass density: 9.7 Mg/m³
Energy relative to the elements, uncorrected: -942 meV/atom

```
12
Lattice="9.424 -2.073 0.000 9.424 2.073 0.000 -2.421 0.000 8.568" Properties=species:S:1:pos:R:3 pbc="T T T"
Th -0.387 0.000 2.325
Th 5.061 0.000 3.696
Th 4.029 0.000 7.546
Th 12.398 0.000 1.022
Th 11.367 0.000 4.872
Th 16.814 0.000 6.243
In 9.424 0.000 0.000
Ru 2.392 0.000 2.907
Ru 14.035 0.000 5.661
Se 0.964 0.000 7.180
Se 8.214 0.000 4.284
Se 15.463 0.000 1.387
```



(2)
First-principles (PBE-GGA) data for a geometry-optimized YInRu2Se structure, as listed in Alexandria via LeMat-Bulk.

Output
Mass density: 7.2 Mg/m³
Energy relative to the elements, uncorrected: 397 meV/atom

```
5
Lattice="4.577 0.000 0.000 0.000 4.577 0.000 0.000 0.000 5.358" Properties=species:S:1:pos:R:3 pbc="T T T"
Y 0.000 0.000 0.000
In 2.289 2.289 0.000
Ru 0.000 2.289 2.679
Ru 2.289 0.000 2.679
Se 2.289 2.289 2.679
```



(3)
First-principles (PBE-GGA) data for a geometry-optimized In2SiRu structure, as listed in Alexandria via LeMat-Bulk.

Output
Mass density: 8.1 Mg/m³
Energy relative to the elements, uncorrected: 363 meV/atom

```
4
Lattice="4.751 0.000 0.000 0.000 4.751 0.000 0.000 0.000 3.252" Properties=species:S:1:pos:R:3 pbc="T T T"
In 0.000 2.375 0.000
In 2.375 0.000 0.000
Si 0.000 0.000 1.626
Ru 2.375 2.375 1.626
```



(4)
First-principles (PBE-GGA) data for a geometry-optimized InSi2Ru structure, as listed in Alexandria via LeMat-Bulk.

Output
Mass density: 6.1 Mg/m³
Energy relative to the elements, uncorrected: -62 meV/atom

```
8
Lattice="8.444 0.000 0.000 0.000 2.967 0.000 -2.325 0.000 5.939" Properties=species:S:1:pos:R:3 pbc="T T T"
In 0.000 0.000 0.000
In 4.222 1.483 0.000
Si -0.235 1.483 3.593
Si 2.082 1.483 1.677
Si 3.987 0.000 3.593
Si 6.304 0.000 1.677
Ru 1.614 0.000 3.512
Ru 5.836 1.483 3.512
```



(5)
First-principles (PBE-GGA) data for a geometry-optimized In2SiRu structure, as listed in Alexandria via LeMat-Bulk.

Output
Mass density: 8.1 Mg/m³
Energy relative to the elements, uncorrected: 468 meV/atom

```
16
Lattice="6.638 0.000 0.000 0.000 6.638 0.000 0.000 0.000 6.638" Properties=species:S:1:pos:R:3 pbc="T T T"
In 0.000 0.000 0.000
In 0.000 3.319 3.319
In 1.659 1.659 1.659
In 1.659 4.978 4.978
In 3.319 0.000 3.319
In 3.319 3.319 0.000
In 4.978 1.659 4.978
In 4.978 4.978 1.659
Si 1.659 1.659 4.978
Si 1.659 4.978 1.659
Si 4.978 1.659 1.659
Si 4.978 4.978 4.978
Ru 0.000 0.000 3.319
Ru 0.000 3.319 0.000
Ru 3.319 0.000 0.000
Ru 3.319 3.319 3.319
```



(6)
First-principles (PBE-GGA) data for a geometry-optimized In2SiRu structure, as listed in Alexandria via LeMat-Bulk.

Output
Mass density: 8.2 Mg/m³
Energy relative to the elements, uncorrected: 274 meV/atom

```
4
Lattice="3.616 0.000 0.000 0.000 3.616 0.000 0.000 0.000 5.526" Properties=species:S:1:pos:R:3 pbc="T T T"
In 0.000 0.000 1.363
In 0.000 0.000 4.163
Si 1.808 1.808 2.763
Ru 1.808 1.808 0.000
```



(7)
First-principles (PBE-GGA) data for a geometry-optimized InSi2Ru structure, as listed in Alexandria via LeMat-Bulk.

Output
Mass density: 7.1 Mg/m³
Energy relative to the elements, uncorrected: 376 meV/atom

```
8
Lattice="4.007 0.000 0.000 0.000 4.007 0.000 0.000 0.000 7.911" Properties=species:S:1:pos:R:3 pbc="T T T"
In 0.000 0.000 0.000
In 2.003 2.003 3.956
Si 0.000 0.000 3.956
Si 0.000 2.003 1.978
Si 2.003 0.000 5.933
Si 2.003 2.003 0.000
Ru 0.000 2.003 5.933
Ru 2.003 0.000 1.978
```



(8)
First-principles (PBE-GGA) data for a geometry-optimized In2SiRu structure, as listed in Alexandria via LeMat-Bulk.

Output
Mass density: 5.1 Mg/m³
Energy relative to the elements, uncorrected: -3 meV/atom

```
16
Lattice="10.147 0.000 0.000 0.000 10.147 0.000 0.000 0.000 4.552" Properties=species:S:1:pos:R:3 pbc="T T T"
In 0.000 0.000 0.000
In 0.000 5.074 0.000
In 2.537 2.537 3.414
In 2.537 7.611 1.138
In 5.074 0.000 2.276
In 5.074 5.074 2.276
In 7.611 2.537 3.414
In 7.611 7.611 1.138
Si 0.000 2.537 1.707
Si 0.000 7.611 2.845
Si 5.074 2.537 0.569
Si 5.074 7.611 3.983
Ru 0.000 2.537 3.983
Ru 0.000 7.611 0.569
Ru 5.074 2.537 2.845
Ru 5.074 7.611 1.707
```



(9)
First-principles (PBE-GGA) data for a geometry-optimized In4SiRu structure, as listed in Alexandria via LeMat-Bulk.

Output
Mass density: 7.2 Mg/m³
Energy relative to the elements, uncorrected: 814 meV/atom

```
6
Lattice="0.000 4.075 4.075 4.075 0.000 4.075 4.075 4.075 0.000" Properties=species:S:1:pos:R:3 pbc="T T T"
In 1.017 1.017 1.017
In 3.058 3.058 1.017
In 3.058 1.017 3.058
In 1.017 3.058 3.058
Si 4.075 4.075 4.075
Ru 6.113 6.113 6.113
```



(10)
First-principles (PBE-GGA) data for a geometry-optimized InSi2Ru structure, as listed in Alexandria via LeMat-Bulk.

Output
Mass density: 6.7 Mg/m³
Energy relative to the elements, uncorrected: -60 meV/atom

```
4
Lattice="2.962 0.000 0.000 0.000 2.962 0.000 0.000 0.000 7.736" Properties=species:S:1:pos:R:3 pbc="T T T"
In 0.000 0.000 0.000
Si 1.481 1.481 2.417
Si 1.481 1.481 5.319
Ru 0.000 0.000 3.868
```



(11)
First-principles (PBE-GGA) data for a geometry-optimized In2SiRu structure, as listed in Alexandria via LeMat-Bulk.

Output
Mass density: 7.6 Mg/m³
Energy relative to the elements, uncorrected: -78 meV/atom

```
4
Lattice="3.058 0.000 0.000 0.000 3.058 0.000 0.000 0.000 8.408" Properties=species:S:1:pos:R:3 pbc="T T T"
In 0.000 0.000 0.000
In 1.529 1.529 2.952
Si 1.529 1.529 6.111
Ru 0.000 0.000 4.973
```



(12)
First-principles (PBE-GGA) data for a geometry-optimized In2SiRu structure, as listed in Alexandria via LeMat-Bulk.

Output
Mass density: 8.3 Mg/m³
Energy relative to the elements, uncorrected: 342 meV/atom

```
8
Lattice="4.147 0.000 0.000 0.000 4.147 0.000 0.000 0.000 8.357" Properties=species:S:1:pos:R:3 pbc="T T T"
In 0.000 0.000 0.000
In 0.000 2.074 2.089
In 2.074 0.000 6.268
In 2.074 2.074 4.178
Si 0.000 0.000 4.178
Si 2.074 2.074 0.000
Ru 0.000 2.074 6.268
Ru 2.074 0.000 2.089
```



(13)
First-principles (PBE-GGA) data for a geometry-optimized InSiRu4 structure, as listed in Alexandria via LeMat-Bulk.

Output
Mass density: 9.4 Mg/m³
Energy relative to the elements, uncorrected: 551 meV/atom

```
6
Lattice="0.000 3.643 3.643 3.643 0.000 3.643 3.643 3.643 0.000" Properties=species:S:1:pos:R:3 pbc="T T T"
In 0.000 0.000 0.000
Si 1.821 1.821 1.821
Ru 4.550 2.736 2.736
Ru 2.736 4.550 2.736
Ru 2.736 2.736 4.550
Ru 4.550 4.550 4.550
```



(14)
First-principles (PBE-GGA) data for a geometry-optimized InSi2Ru structure, as listed in Alexandria via LeMat-Bulk.

Output
Mass density: 7.1 Mg/m³
Energy relative to the elements, uncorrected: 334 meV/atom

```
8
Lattice="4.136 0.000 0.000 0.000 4.136 0.000 0.000 0.000 7.436" Properties=species:S:1:pos:R:3 pbc="T T T"
In 0.000 0.000 0.000
In 2.068 2.068 3.718
Si 0.000 2.068 1.859
Si 0.000 2.068 5.577
Si 2.068 0.000 1.859
Si 2.068 0.000 5.577
Ru 0.000 0.000 3.718
Ru 2.068 2.068 0.000
```



(15)
First-principles (PBE-GGA) data for a geometry-optimized InSi2Ru structure, as listed in Alexandria via LeMat-Bulk.

Output
Mass density: 7.1 Mg/m³
Energy relative to the elements, uncorrected: 421 meV/atom

```
4
Lattice="4.160 0.000 0.000 0.000 4.160 0.000 0.000 0.000 3.702" Properties=species:S:1:pos:R:3 pbc="T T T"
In 0.000 0.000 0.000
Si 0.000 2.080 1.851
Si 2.080 0.000 1.851
Ru 2.080 2.080 0.000
```



(16)
First-principles (PBE-GGA) data for a geometry-optimized InSi2Ru structure, as listed in Alexandria via LeMat-Bulk.

Output
Mass density: 7.0 Mg/m³
Energy relative to the elements, uncorrected: 335 meV/atom

```
8
Lattice="5.345 0.000 0.000 0.000 7.521 0.000 0.000 0.000 3.193" Properties=species:S:1:pos:R:3 pbc="T T T"
In 0.000 0.000 0.000
In 2.673 3.761 0.000
Si 1.336 1.880 1.596
Si 1.336 5.641 1.596
Si 4.009 1.880 1.596
Si 4.009 5.641 1.596
Ru 0.000 3.761 0.000
Ru 2.673 0.000 0.000
```



(17)
First-principles (PBE-GGA) data for a geometry-optimized InSi2Ru structure, as listed in Alexandria via LeMat-Bulk.

Output
Mass density: 6.7 Mg/m³
Energy relative to the elements, uncorrected: 29 meV/atom

```
12
Lattice="3.095 0.000 0.000 -1.547 2.680 0.000 0.000 0.000 24.517" Properties=species:S:1:pos:R:3 pbc="T T T"
In 0.000 0.000 0.000
In 0.000 1.787 16.345
In 1.547 0.893 8.172
Si 0.000 0.000 5.784
Si 0.000 0.000 18.733
Si 0.000 1.787 10.561
Si 0.000 1.787 22.129
Si 1.547 0.893 2.388
Si 1.547 0.893 13.956
Ru 0.000 0.000 12.259
Ru 0.000 1.787 4.086
Ru 1.547 0.893 20.431
```



(18)
First-principles (PBE-GGA) data for a geometry-optimized In2SiRu structure, as listed in Alexandria via LeMat-Bulk.

Output
Mass density: 8.2 Mg/m³
Energy relative to the elements, uncorrected: 312 meV/atom

```
8
Lattice="5.448 0.000 0.000 0.000 8.108 0.000 0.000 0.000 3.281" Properties=species:S:1:pos:R:3 pbc="T T T"
In 1.362 2.027 0.000
In 1.362 6.081 0.000
In 4.086 2.027 0.000
In 4.086 6.081 0.000
Si 0.000 0.000 1.641
Si 2.724 4.054 1.641
Ru 0.000 4.054 1.641
Ru 2.724 0.000 1.641
```



(19)
First-principles (PBE-GGA) data for a geometry-optimized InSi4Ru5 structure, as listed in Alexandria via LeMat-Bulk.

Output
Mass density: 9.0 Mg/m³
Energy relative to the elements, uncorrected: -532 meV/atom

```
10
Lattice="2.955 0.000 0.000 0.000 2.955 0.000 0.000 0.000 15.477" Properties=species:S:1:pos:R:3 pbc="T T T"
In 0.000 0.000 0.000
Si 0.000 0.000 3.276
Si 0.000 0.000 6.257
Si 0.000 0.000 9.221
Si 0.000 0.000 12.202
Ru 1.477 1.477 1.974
Ru 1.477 1.477 4.841
Ru 1.477 1.477 7.739
Ru 1.477 1.477 10.636
Ru 1.477 1.477 13.503
```



(20)
First-principles (PBE-GGA) data for a geometry-optimized InSi2Ru2 structure, as listed in Alexandria via LeMat-Bulk.

Output
Mass density: 8.3 Mg/m³
Energy relative to the elements, uncorrected: -266 meV/atom

```
10
Lattice="7.150 0.000 0.000 0.000 7.150 0.000 0.000 0.000 2.935" Properties=species:S:1:pos:R:3 pbc="T T T"
In 0.000 0.000 0.000
In 3.575 3.575 0.000
Si 1.007 2.568 1.468
Si 2.568 6.142 1.468
Si 4.582 1.007 1.468
Si 6.142 4.582 1.468
Ru 1.066 4.641 0.000
Ru 2.509 1.066 0.000
Ru 4.641 6.083 0.000
Ru 6.083 2.509 0.000
```



(21)
First-principles (PBE-GGA) data for a geometry-optimized InSi3Ru structure, as listed in Alexandria via LeMat-Bulk.

Output
Mass density: 4.9 Mg/m³
Energy relative to the elements, uncorrected: 348 meV/atom

```
5
Lattice="4.670 0.000 0.000 0.000 4.670 0.000 0.000 0.000 4.670" Properties=species:S:1:pos:R:3 pbc="T T T"
In 0.000 0.000 0.000
Si 0.000 2.335 2.335
Si 2.335 0.000 2.335
Si 2.335 2.335 0.000
Ru 2.335 2.335 2.335
```



(22)
First-principles (PBE-GGA) data for a geometry-optimized InSi2Ru2 structure, as listed in Alexandria via LeMat-Bulk.

Output
Mass density: 7.9 Mg/m³
Energy relative to the elements, uncorrected: -425 meV/atom

```
10
Lattice="3.571 0.000 0.000 0.000 3.571 0.000 0.000 0.000 12.273" Properties=species:S:1:pos:R:3 pbc="T T T"
In 0.000 0.000 0.000
In 1.786 1.786 6.136
Si 0.000 1.786 3.068
Si 0.000 1.786 9.204
Si 1.786 0.000 3.068
Si 1.786 0.000 9.204
Ru 0.000 0.000 4.683
Ru 0.000 0.000 7.589
Ru 1.786 1.786 1.453
Ru 1.786 1.786 10.820
```



(23)
First-principles (PBE-GGA) data for a geometry-optimized InSi2Ru structure, as listed in Alexandria via LeMat-Bulk.

Output
Mass density: 6.7 Mg/m³
Energy relative to the elements, uncorrected: 24 meV/atom

```
4
Lattice="3.032 0.000 0.000 0.000 3.032 0.000 0.000 0.000 7.343" Properties=species:S:1:pos:R:3 pbc="T T T"
In 0.000 0.000 0.000
Si 0.000 0.000 3.234
Si 1.516 1.516 4.752
Ru 1.516 1.516 2.080
```



(24)
First-principles (PBE-GGA) data for a geometry-optimized In2SiRu structure, as listed in Alexandria via LeMat-Bulk.

Output
Mass density: 7.7 Mg/m³
Energy relative to the elements, uncorrected: 400 meV/atom

```
12
Lattice="3.271 0.000 0.000 -1.636 2.833 0.000 0.000 0.000 25.053" Properties=species:S:1:pos:R:3 pbc="T T T"
In 0.000 0.000 6.183
In 0.000 0.000 18.870
In 0.000 1.889 10.519
In 0.000 1.889 22.885
In 1.636 0.944 2.168
In 1.636 0.944 14.534
Si 0.000 0.000 0.000
Si 0.000 1.889 16.702
Si 1.636 0.944 8.351
Ru 0.000 0.000 12.526
Ru 0.000 1.889 4.175
Ru 1.636 0.944 20.877
```



(25)
First-principles (PBE-GGA) data for a geometry-optimized InSi2Ru structure, as listed in Alexandria via LeMat-Bulk.

Output
Mass density: 6.1 Mg/m³
Energy relative to the elements, uncorrected: 32 meV/atom

```
8
Lattice="7.810 0.000 0.000 0.000 3.076 0.000 -1.524 0.000 6.161" Properties=species:S:1:pos:R:3 pbc="T T T"
In 0.000 0.000 0.000
In 3.905 1.538 0.000
Si 0.857 0.000 4.055
Si 1.524 1.538 2.106
Si 4.762 1.538 4.055
Si 5.429 0.000 2.106
Ru -0.762 1.538 3.081
Ru 3.143 0.000 3.081
```



(26)
First-principles (PBE-GGA) data for a geometry-optimized InSi2Ru structure, as listed in Alexandria via LeMat-Bulk.

Output
Mass density: 4.8 Mg/m³
Energy relative to the elements, uncorrected: 349 meV/atom

```
16
Lattice="5.941 0.000 0.000 0.000 5.941 0.000 0.000 0.000 10.709" Properties=species:S:1:pos:R:3 pbc="T T T"
In 0.000 0.000 0.000
In 0.000 2.970 2.677
In 2.970 0.000 8.031
In 2.970 2.970 5.354
Si 1.096 1.485 6.693
Si 1.485 4.066 9.370
Si 1.485 4.844 4.016
Si 1.874 1.485 1.339
Si 4.066 4.455 1.339
Si 4.455 1.096 4.016
Si 4.455 1.874 9.370
Si 4.844 4.455 6.693
Ru 0.000 0.000 5.354
Ru 0.000 2.970 8.031
Ru 2.970 0.000 2.677
Ru 2.970 2.970 0.000
```



(27)
First-principles (PBE-GGA) data for a geometry-optimized InSiRu3 structure, as listed in Alexandria via LeMat-Bulk.

Output
Mass density: 8.6 Mg/m³
Energy relative to the elements, uncorrected: 387 meV/atom

```
5
Lattice="4.409 0.000 0.000 0.000 4.409 0.000 0.000 0.000 4.409" Properties=species:S:1:pos:R:3 pbc="T T T"
In 0.000 0.000 0.000
Si 2.204 2.204 2.204
Ru 0.000 2.204 2.204
Ru 2.204 0.000 2.204
Ru 2.204 2.204 0.000
```



(28)
First-principles (PBE-GGA) data for a geometry-optimized InSi2Ru structure, as listed in Alexandria via LeMat-Bulk.

Output
Mass density: 6.6 Mg/m³
Energy relative to the elements, uncorrected: 67 meV/atom

```
4
Lattice="3.371 0.000 0.000 0.000 4.317 0.000 -0.012 0.000 4.724" Properties=species:S:1:pos:R:3 pbc="T T T"
In 0.000 0.000 0.000
Si 1.674 2.158 3.554
Si 1.684 2.158 1.170
Ru 1.679 0.000 2.362
```



(29)
First-principles (PBE-GGA) data for a geometry-optimized InSi2Ru structure, as listed in Alexandria via LeMat-Bulk.

Output
Mass density: 6.9 Mg/m³
Energy relative to the elements, uncorrected: 247 meV/atom

```
8
Lattice="3.166 0.000 0.000 0.000 4.877 0.000 0.000 0.000 8.457" Properties=species:S:1:pos:R:3 pbc="T T T"
In 0.000 0.000 0.000
In 1.583 2.439 4.228
Si 0.000 0.000 4.206
Si 0.000 2.439 1.921
Si 1.583 0.000 6.149
Si 1.583 2.439 8.435
Ru 0.000 2.439 6.618
Ru 1.583 0.000 2.390
```